# 1
A geometry-optimized AlTlZn structure, computed with PBE.

```
AlTlZn
1.0
3.904 0.000 0.001
0.000 3.863 -0.031
-0.001 -1.525 9.030
Zn Al Tl
2 2 2
Direct
0.668 0.633 0.260
0.668 0.223 0.475
0.168 0.139 0.255
0.168 0.734 0.482
0.669 0.991 0.990
0.169 0.359 0.749
```

Computed properties:
Crystal system: triclinic
Final energy: -2.3357 eV/atom



# 2
A geometry-optimized AlTlZn structure, computed with PBE.

```
AlTlZn
1.0
-2.267 4.210 -7.088
-3.845 -1.076 0.591
-1.137 6.319 4.117
Tl Zn Al
4 4 4
Direct
0.416 0.250 0.356
0.084 0.750 0.856
0.584 0.750 0.644
0.916 0.250 0.144
0.105 0.250 0.526
0.395 0.750 0.026
0.895 0.750 0.474
0.605 0.250 0.974
0.841 0.250 0.725
0.659 0.750 0.225
0.159 0.750 0.275
0.341 0.250 0.775
```

Computed properties:
Crystal system: orthorhombic
Final energy: -2.2496 eV/atom



# 3
A geometry-optimized AlTlZn structure, computed with PBE.

```
AlTlZn
1.0
-3.990 -3.151 -0.253
4.552 -1.517 -1.700
1.302 -2.077 5.340
Tl Zn Al
2 2 2
Direct
0.333 0.667 0.750
0.667 0.333 0.250
0.000 0.000 0.000
0.000 0.000 0.500
0.333 0.667 0.250
0.667 0.333 0.750
```

Computed properties:
Crystal system: hexagonal
Final energy: -2.1225 eV/atom



# 4
A geometry-optimized Al2TlZn structure, computed with PBE.

```
Al2TlZn
1.0
2.042 -2.406 3.740
2.994 2.348 3.077
-1.439 0.928 4.584
Tl Zn Al
1 1 2
Direct
0.500 0.500 0.500
0.000 0.000 0.000
0.250 0.250 0.250
0.750 0.750 0.750
```

Computed properties:
Crystal system: cubic
Energy above the most stable polymorph in this dataset: 0.134 eV per atom



# 5
A geometry-optimized AlTlZn2 structure, computed with PBE.

```
AlTlZn2
1.0
-5.026 -0.976 0.959
2.734 -4.136 1.595
0.283 1.247 2.751
Tl Zn Al
1 2 1
Direct
0.000 0.500 0.500
0.000 0.000 0.000
0.500 0.500 0.000
0.500 0.000 0.500
```

Computed properties:
Crystal system: orthorhombic
Energy above the most stable polymorph in this dataset: 0.086 eV per atom



# 6
A geometry-optimized AlTlZn structure, computed with PBE.

```
AlTlZn
1.0
3.136 0.014 0.004
1.561 4.334 0.078
0.001 0.724 9.981
Zn Al Tl
2 2 2
Direct
0.994 0.357 0.198
0.190 0.964 0.538
0.726 0.896 0.296
0.455 0.433 0.432
0.255 0.842 0.003
0.471 0.377 0.743
```

Computed properties:
Crystal system: triclinic
Final energy: -2.3394 eV/atom



# 7
A geometry-optimized AlTlZn structure, computed with PBE.

```
AlTlZn
1.0
-0.488 5.186 -4.294
-3.514 4.357 -3.772
-0.359 2.521 1.906
Tl Zn Al
1 1 1
Direct
0.332 0.332 0.668
0.643 0.643 0.357
0.025 0.025 0.975
```

Computed properties:
Crystal system: tetragonal
Final energy: -2.2702 eV/atom



# 8
A geometry-optimized AlTlZn structure, computed with PBE.

```
AlTlZn
1.0
-4.959 -6.319 -1.127
0.114 -0.816 4.068
-6.395 4.814 1.145
Tl Zn Al
4 4 4
Direct
0.324 0.250 0.430
0.176 0.750 0.930
0.676 0.750 0.570
0.824 0.250 0.070
0.937 0.250 0.743
0.563 0.750 0.243
0.063 0.750 0.257
0.437 0.250 0.757
0.924 0.250 0.417
0.576 0.750 0.917
0.076 0.750 0.583
0.424 0.250 0.083
```

Computed properties:
Crystal system: orthorhombic
Final energy: -2.2329 eV/atom



# 9
A geometry-optimized Al2TlZn structure, computed with PBE.

```
Al2TlZn
1.0
-1.085 0.346 3.429
0.087 -2.990 0.329
7.268 -1.055 2.407
Tl Zn Al
1 1 2
Direct
0.000 0.352 0.518
0.500 0.651 0.799
0.000 0.051 0.990
0.500 0.445 0.193
```

Computed properties:
Crystal system: monoclinic
Energy above the most stable polymorph in this dataset: 0.006 eV per atom



# 10
A geometry-optimized Al2TlZn structure, computed with PBE.

```
Al2TlZn
1.0
-0.019 -4.329 -0.439
1.316 -0.421 4.093
-4.115 -0.115 1.311
Tl Zn Al
1 1 2
Direct
0.500 0.500 0.000
0.500 0.000 0.500
0.000 0.000 0.000
0.000 0.500 0.500
```

Computed properties:
Crystal system: tetragonal
Energy above the most stable polymorph in this dataset: 0.095 eV per atom



# 11
A geometry-optimized Al2TlZn structure, computed with PBE.

```
Al2TlZn
1.0
4.612 -0.006 0.051
3.390 3.127 0.051
1.145 0.446 5.699
Tl Zn Al
1 1 2
Direct
0.750 0.750 0.750
0.250 0.250 0.250
0.991 0.991 0.054
0.509 0.509 0.446
```

Computed properties:
Crystal system: monoclinic
Energy above the most stable polymorph in this dataset: 0.022 eV per atom



# 12
A geometry-optimized Al2TlZn structure, computed with PBE.

```
Al2TlZn
1.0
-3.066 -2.733 -2.113
2.371 -2.517 -0.184
-0.946 -2.502 4.609
Tl Zn Al
1 1 2
Direct
0.500 0.250 0.250
0.500 0.750 0.750
0.000 0.913 0.973
0.000 0.587 0.527
```

Computed properties:
Crystal system: monoclinic
Energy above the most stable polymorph in this dataset: 0.066 eV per atom



# 13
A geometry-optimized Al2TlZn structure, computed with PBE.

```
Al2TlZn
1.0
2.948 0.000 0.000
0.000 3.873 0.000
0.000 0.000 7.279
Tl Zn Al
1 1 2
Direct
0.000 0.000 0.508
0.500 0.500 0.807
0.000 0.000 0.992
0.500 0.500 0.193
```

Computed properties:
Crystal system: orthorhombic
Energy above the most stable polymorph in this dataset: 0.000 eV per atom



# 14
A geometry-optimized AlTlZn2 structure, computed with PBE.

```
AlTlZn2
1.0
-3.946 0.393 3.509
-3.200 -4.210 -0.262
5.254 0.503 0.424
Tl Zn Al
1 2 1
Direct
0.750 0.250 0.500
0.000 0.000 0.000
0.250 0.750 0.500
0.500 0.500 0.000
```

Computed properties:
Crystal system: tetragonal
Energy above the most stable polymorph in this dataset: 0.077 eV per atom